Record 1
## Pr3Sc2Hg3 (GGA-PBE)

Data for crystalline Pr3Sc2Hg3 at its relaxed geometry.

Cell lengths 11.581, 11.581, 11.581 Å; angles 161.56, 153.12, 32.79 degrees
Positions (direct):
Pr: 0.000 0.000 0.000
Pr: 0.374 0.874 0.500
Pr: 0.626 0.126 0.500
Sc: 0.239 0.239 0.000
Sc: 0.761 0.761 0.000
Hg: 0.136 0.636 0.500
Hg: 0.500 0.500 0.000
Hg: 0.864 0.364 0.500

Properties
Fermi-level density of states, states/eV/atom: 1.433
Mass density, g/cm3: 8.34


Record 2
## PrScSnHg (GGA-PBE)

Data for crystalline PrScSnHg at its relaxed geometry.

Cell lengths 5.270, 5.270, 5.270 Å; angles 60.00, 60.00, 60.00 degrees
Positions (direct):
Pr: 0.000 0.000 0.000
Sc: 0.500 0.500 0.500
Sn: 0.250 0.250 0.250
Hg: 0.750 0.750 0.750

Properties
Fermi-level density of states, states/eV/atom: 0.887
Mass density, g/cm3: 8.11


Record 3
## TbPrScHg (GGA-PBE)

Data for crystalline TbPrScHg at its relaxed geometry.

Cell lengths 5.404, 5.404, 5.404 Å; angles 60.00, 60.00, 60.00 degrees
Positions (direct):
Tb: 0.000 0.000 0.000
Pr: 0.500 0.500 0.500
Sc: 0.750 0.750 0.750
Hg: 0.250 0.250 0.250

Properties
Fermi-level density of states, states/eV/atom: 1.453
Mass density, g/cm3: 8.11


Record 4
## PrTm2ScHg4 (GGA-PBE)

Data for crystalline PrTm2ScHg4 at its relaxed geometry.

Cell lengths 9.205, 9.205, 9.205 Å; angles 32.63, 32.63, 32.63 degrees
Positions (direct):
Pr: 0.000 0.000 0.000
Tm: 0.247 0.247 0.247
Tm: 0.753 0.753 0.753
Sc: 0.500 0.500 0.500
Hg: 0.129 0.129 0.129
Hg: 0.383 0.383 0.383
Hg: 0.617 0.617 0.617
Hg: 0.871 0.871 0.871

Properties
Fermi-level density of states, states/eV/atom: 1.004
Mass density, g/cm3: 10.92


Record 5
## PrY2ScHg4 (GGA-PBE)

Data for crystalline PrY2ScHg4 at its relaxed geometry.

Cell lengths 9.226, 9.226, 9.226 Å; angles 32.88, 32.88, 32.88 degrees
Positions (direct):
Pr: 0.000 0.000 0.000
Y: 0.247 0.247 0.247
Y: 0.753 0.753 0.753
Sc: 0.500 0.500 0.500
Hg: 0.128 0.128 0.128
Hg: 0.382 0.382 0.382
Hg: 0.618 0.618 0.618
Hg: 0.872 0.872 0.872

Properties
Fermi-level density of states, states/eV/atom: 1.116
Mass density, g/cm3: 9.40


Record 6
## PrYSc2Hg4 (GGA-PBE)

Data for crystalline PrYSc2Hg4 at its relaxed geometry.

Cell lengths 9.037, 9.037, 9.037 Å; angles 33.30, 33.30, 33.30 degrees
Positions (direct):
Pr: 0.000 0.000 0.000
Y: 0.500 0.500 0.500
Sc: 0.249 0.249 0.249
Sc: 0.751 0.751 0.751
Hg: 0.127 0.127 0.127
Hg: 0.379 0.379 0.379
Hg: 0.621 0.621 0.621
Hg: 0.873 0.873 0.873

Properties
Fermi-level density of states, states/eV/atom: 1.025
Mass density, g/cm3: 9.41


Record 7
## PrScZnHg (GGA-PBE)

Data for crystalline PrScZnHg at its relaxed geometry.

Cell lengths 5.152, 5.152, 5.152 Å; angles 60.00, 60.00, 60.00 degrees
Positions (direct):
Pr: 0.000 0.000 0.000
Sc: 0.500 0.500 0.500
Zn: 0.250 0.250 0.250
Hg: 0.750 0.750 0.750

Properties
Fermi-level density of states, states/eV/atom: 1.007
Mass density, g/cm3: 7.76


Record 8
## Pr2HgSe (GGA-PBE)

Data for crystalline Pr2HgSe at its relaxed geometry.

Cell lengths 3.813, 3.813, 7.404 Å; angles 90.00, 90.00, 90.00 degrees
Positions (direct):
Pr: 0.000 0.000 0.239
Pr: 0.000 0.000 0.761
Hg: 0.500 0.500 0.500
Se: 0.500 0.500 0.000

Properties
Fermi-level density of states, states/eV/atom: 0.940
Mass density, g/cm3: 8.66
ΔE to the lowest computed polymorph, eV/atom: 0.1599
Raw formation energy, eV/atom: -0.969


Record 9
## Pr3HgSe6 (GGA-PBE)

Data for crystalline Pr3HgSe6 at its relaxed geometry.

Cell lengths 9.103, 9.103, 7.237 Å; angles 90.00, 90.00, 100.84 degrees
Positions (direct):
Pr: 0.100 0.900 0.500
Pr: 0.222 0.415 0.602
Pr: 0.415 0.222 0.102
Pr: 0.585 0.778 0.602
Pr: 0.778 0.585 0.102
Pr: 0.900 0.100 0.000
Hg: 0.293 0.707 0.124
Hg: 0.707 0.293 0.624
Se: 0.051 0.589 0.333
Se: 0.126 0.197 0.301
Se: 0.197 0.126 0.801
Se: 0.274 0.726 0.764
Se: 0.411 0.949 0.333
Se: 0.468 0.532 0.304
Se: 0.532 0.468 0.804
Se: 0.589 0.051 0.833
Se: 0.726 0.274 0.264
Se: 0.803 0.874 0.301
Se: 0.874 0.803 0.801
Se: 0.949 0.411 0.833

Properties
Fermi-level density of states, states/eV/atom: 0.797
Mass density, g/cm3: 6.19
Raw formation energy, eV/atom: -1.382


Record 10
## Pr8HgSe6 (GGA-PBE)

Data for crystalline Pr8HgSe6 at its relaxed geometry.

Cell lengths 11.013, 11.013, 4.277 Å; angles 90.00, 90.00, 120.00 degrees
Positions (direct):
Pr: 0.036 0.327 0.250
Pr: 0.291 0.964 0.250
Pr: 0.327 0.291 0.750
Pr: 0.333 0.667 0.750
Pr: 0.667 0.333 0.250
Pr: 0.673 0.709 0.250
Pr: 0.709 0.036 0.750
Pr: 0.964 0.673 0.750
Hg: 0.000 0.000 0.500
Se: 0.132 0.648 0.251
Se: 0.352 0.484 0.251
Se: 0.484 0.132 0.749
Se: 0.516 0.868 0.251
Se: 0.648 0.516 0.749
Se: 0.868 0.352 0.749

Properties
Fermi-level density of states, states/eV/atom: 0.983
Mass density, g/cm3: 6.66
Raw formation energy, eV/atom: -1.355


Record 11
## Pr2HgSe (GGA-PBE)

Data for crystalline Pr2HgSe at its relaxed geometry.

Cell lengths 8.430, 8.430, 8.430 Å; angles 28.36, 28.36, 28.36 degrees
Positions (direct):
Pr: 0.000 0.000 0.000
Pr: 0.185 0.185 0.185
Hg: 0.426 0.426 0.426
Se: 0.594 0.594 0.594

Properties
Fermi-level density of states, states/eV/atom: 0.637
Mass density, g/cm3: 7.80
ΔE to the lowest computed polymorph, eV/atom: 0.0659
Raw formation energy, eV/atom: -1.063


Record 12
## Pr2HgSe (GGA-PBE)

Data for crystalline Pr2HgSe at its relaxed geometry.

Cell lengths 8.088, 8.088, 8.088 Å; angles 30.26, 30.26, 30.26 degrees
Positions (direct):
Pr: 0.243 0.243 0.243
Pr: 0.757 0.757 0.757
Hg: 0.000 0.000 0.000
Se: 0.500 0.500 0.500

Properties
Fermi-level density of states, states/eV/atom: 0.522
Mass density, g/cm3: 7.83
ΔE to the lowest computed polymorph, eV/atom: 0.0000
Raw formation energy, eV/atom: -1.129


The evaluated VASP energy for the records listed, in turn: -3.813 -4.368 -4.095 -3.096 -3.611 -3.573 -3.509 -4.305 -4.937 -5.318 -4.399 -4.465 eV/atom.